The following is a DFT calculation (GGA-PBE) of a relaxed structure of Dy2TmPaP4.

The structure in POSCAR format:
```
Dy2TmPaP4
1.0
-1.3922 -1.0900 -3.5700
6.4242 -1.1374 -2.1580
-2.5525 -5.7744 2.7584
P Pa Dy Tm
4 1 2 1
Direct
0.5000 0.7496 0.7557
0.0000 0.2518 0.7544
0.5000 0.2504 0.2443
0.0000 0.7482 0.2456
0.5000 0.5000 0.0000
0.5000 0.0000 0.5000
0.0000 0.5000 0.5000
0.0000 0.0000 0.0000
```

Properties
M_tot: 0.00 μB per formula unit
uncorrected energy: -0.263 hartree per atom
space group: No. 10